Entry i
Material: VNiIO2
Method: DFT, GGA+U
State: relaxed

Lattice parameters (Å, degrees): 3.6872 3.6872 5.9054 90.00 90.00 90.00
Closest atoms and distances in Å follow each position.
Atoms (fractional coordinates):
O: 0.0000 0.5000 0.0000  2 V 1.84
V: 0.0000 0.0000 0.0000  4 O 1.84
Ni: 0.5000 0.5000 0.5000  4 I 2.61
I: 0.0000 0.0000 0.5000  4 Ni 2.61
O: 0.5000 0.0000 0.0000  2 V 1.84

* calculated volume: 80.3 Å³ per cell
* density of states at the Fermi level: 3.476 states/eV/f.u.

Entry ii
Material: VNiIO2
Method: DFT, GGA+U
State: relaxed

Lattice parameters (Å, degrees): 3.9724 3.9724 5.3967 90.00 90.00 90.00
Closest atoms and distances in Å follow each position.
Atoms (fractional coordinates):
O: 0.0000 0.5000 0.0000  2 Ni 1.99
V: 0.5000 0.5000 0.5000  4 I 2.81
Ni: 0.0000 0.0000 0.0000  4 O 1.99
I: 0.0000 0.0000 0.5000  2 Ni 2.70, 4 V 2.81
O: 0.5000 0.0000 0.0000  2 Ni 1.99

* calculated volume: 85.2 Å³ per cell
* density of states at the Fermi level: 2.138 states/eV/f.u.

Which of the structures shown above is the most stable? The most stable is entry i.